1.
PBE MnSnMo2H, optimized geometry; raw total energy = -7.4898 eV per atom
1.0
-3.115 2.497 0.590
-2.511 -2.775 -1.512
-0.543 -1.570 3.782
H Sn Mo Mn
1 1 2 1
direct
0.000 0.000 0.000
0.500 0.500 0.500
0.000 0.500 0.000
0.500 0.000 0.000
0.000 0.000 0.500

2.
PBE TaMnMo2H, optimized geometry; raw total energy = -9.1906 eV per atom
1.0
4.374 0.000 0.000
0.000 4.374 0.000
0.000 0.000 3.351
H Mo Mn Ta
1 2 1 1
direct
0.000 0.000 0.000
0.500 0.000 0.000
0.000 0.500 0.000
0.000 0.000 0.500
0.500 0.500 0.500

3.
PBE TaMn2MoH, optimized geometry; E above lowest polymorph = 0.008 eV/atom
1.0
-1.043 0.433 3.590
3.320 -1.367 1.130
1.618 3.925 -0.003
Mn Mo H Ta
2 1 1 1
direct
0.500 0.000 0.000
0.000 0.500 0.000
0.500 0.500 0.500
0.000 0.000 0.000
0.000 0.000 0.500

4.
PBE TaMn2MoH, optimized geometry; E above lowest polymorph = 0.000 eV/atom
1.0
-3.699 -0.521 -0.542
0.639 -0.742 -3.645
0.443 -4.090 0.910
Ta Mo Mn H
1 1 2 1
direct
0.500 0.500 0.500
0.000 0.000 0.500
0.500 0.000 0.000
0.000 0.500 0.000
0.000 0.000 0.000

5.
PBE MnTc2MoH, optimized geometry; raw total energy = -8.7562 eV per atom
1.0
3.964 0.000 0.000
0.000 3.964 0.000
0.000 0.000 3.761
Mo Tc H Mn
1 2 1 1
direct
0.500 0.500 0.500
0.500 0.000 0.000
0.000 0.500 0.000
0.000 0.000 0.000
0.000 0.000 0.500

6.
PBE MnTcMo2H, optimized geometry; raw total energy = -8.7649 eV per atom
1.0
3.981 0.000 0.000
0.000 3.981 0.000
0.000 0.000 3.755
Mo H Mn Tc
2 1 1 1
direct
0.000 0.500 0.000
0.500 0.000 0.000
0.000 0.000 0.000
0.000 0.000 0.500
0.500 0.500 0.500

7.
PBE MnV2MoH, optimized geometry; raw total energy = -8.3885 eV per atom
1.0
-3.742 -0.735 -1.715
-1.373 -1.518 3.647
-0.970 2.938 0.857
Mo H V Mn
1 1 2 1
direct
0.500 0.500 0.500
0.000 0.000 0.000
0.000 0.500 0.000
0.500 0.000 0.000
0.000 0.000 0.500

8.
PBE Mn2MoHW, optimized geometry; E above lowest polymorph = 0.000 eV/atom
1.0
-1.600 -1.345 3.094
3.611 0.307 2.001
-0.879 3.472 1.055
Mo Mn H W
1 2 1 1
direct
0.000 0.500 0.000
0.500 0.000 0.000
0.000 0.000 0.500
0.000 0.000 0.000
0.500 0.500 0.500

9.
PBE Mn2MoHW, optimized geometry; E above lowest polymorph = 0.016 eV/atom
1.0
3.739 0.000 0.000
0.000 3.739 0.000
0.000 0.000 4.126
H W Mo Mn
1 1 1 2
direct
0.000 0.000 0.000
0.000 0.000 0.500
0.500 0.500 0.500
0.000 0.500 0.000
0.500 0.000 0.000

10.
PBE MnMo2HW, optimized geometry; raw total energy = -9.3278 eV per atom
1.0
-0.054 0.936 4.209
-3.873 -1.859 0.364
1.475 -2.941 0.673
Mo W Mn H
2 1 1 1
direct
0.000 0.500 0.000
0.500 0.000 0.000
0.500 0.500 0.500
0.000 0.000 0.500
0.000 0.000 0.000

11.
PBE MnZnMoH2, optimized geometry; raw total energy = -4.6538 eV per atom
1.0
-1.927 2.516 -1.245
-4.517 -2.464 2.013
0.361 1.720 2.916
H Zn Mn Mo
2 1 1 1
direct
0.500 0.000 0.000
0.000 0.000 0.500
0.000 0.000 0.000
0.500 0.500 0.500
0.000 0.500 0.000

12.
PBE MnZnMo2H, optimized geometry; raw total energy = -6.9674 eV per atom
1.0
-1.192 -3.033 2.084
-0.257 -2.117 -3.227
3.878 -1.197 0.476
Mo Zn H Mn
2 1 1 1
direct
0.000 0.500 0.000
0.500 0.000 0.000
0.500 0.500 0.500
0.000 0.000 0.000
0.000 0.000 0.500

13.
PBE ZrMnMo2H, optimized geometry; raw total energy = -8.3191 eV per atom
1.0
-2.587 1.239 2.525
-3.408 -0.814 -3.092
-0.380 -3.553 1.354
Mn H Mo Zr
1 1 2 1
direct
0.500 0.500 0.500
0.000 0.000 0.000
0.500 0.000 0.000
0.000 0.000 0.500
0.000 0.500 0.000

14.
PBE Zr2MnMoH, optimized geometry; raw total energy = -8.1826 eV per atom
1.0
-2.811 1.017 -3.545
0.413 -4.342 -1.573
-2.684 -0.929 1.861
Zr Mn Mo H
2 1 1 1
direct
0.500 0.000 0.000
0.000 0.500 0.000
0.000 0.000 0.500
0.500 0.500 0.500
0.000 0.000 0.000

15.
PBE MnH2N, optimized geometry; E above lowest polymorph = 0.000 eV/atom
1.0
-2.702 -0.479 0.062
0.471 -3.307 -3.656
-1.009 -1.962 1.633
N H Mn
1 2 1
direct
0.782 0.077 0.664
0.444 0.479 0.331
0.784 0.870 0.664
0.113 0.286 0.997

Calculated volume (computed, Å³/cell): 67.3, 64.1, 60.1, 60.0, 59.1, 59.5, 56.1, 57.7, 57.7, 62.4, 64.1, 61.1, 68.2, 73.0, 32.3
Total moment (computed, μB/f.u.): 2.3, 1.9, 3.9, 4.0, 2.1, 0.0, 0.8, 3.6, 3.4, 2.4, 1.5, 2.8, 0.0, 1.3, 2.0